{
  "formula": "PmCoW",
  "functional": "PBE",
  "state": "optimized geometry",
  "lattice": [[-3.472, -2.748, 1.499], [2.731, -0.460, -1.807], [5.398, -2.083, 8.686]],
  "species": ["Co", "Co", "W", "W", "Pm", "Pm"],
  "fractional_positions": [[0.694, 0.389, 0.000], [0.194, 0.389, 0.500], [0.694, 0.389, 0.385], [0.694, 0.389, 0.615], [0.194, 0.389, 0.831], [0.194, 0.389, 0.169]],
  "vol_a3_per_atom": 19.02,
  "m_tot_mub_per_cell": 1.93,
  "e_tot_ev_per_cell": -47.19,
  "n_ef_per_ev_atom": 1.142,
  "ef_ev_per_atom": 0.40
}